Here is a relaxed structure of TaNiRu from Alexandria. Energies are from PBE.

It has space group Cm (No. 8), with a = 8.1522 Å, b = 4.0458 Å, c = 5.3340 Å, α = 90.00°, β = 102.05° and γ = 90.00°. Symmetry generates all atoms from Ta at (0.0000, 0.0000, 0.0000), Ta at (0.2086, 0.5000, 0.3992), Ni at (0.0318, 0.0000, 0.5229), Ni at (0.3494, 0.0000, 0.6909), Ru at (0.1724, 0.5000, 0.8795) and Ru at (0.3651, 0.0000, 0.2078).

The formation energy is -0.30 eV/atom. The value obtained for the distance to the lowest polymorph of the same formula is 0 meV per atom. Its total moment is 0.00 μB per formula unit.

***

Here is a relaxed structure of Mg2BeTe from Alexandria. Energies are from PBE.

It has space group F-43m (No. 216), with a = 7.0165 Å, b = 7.0165 Å, c = 7.0165 Å, α = 90.00°, β = 90.00° and γ = 90.00°. Symmetry generates all atoms from Mg at (0.0000, 0.0000, 0.0000), Mg at (0.2500, 0.2500, 0.2500), Be at (0.0000, 0.0000, 0.5000) and Te at (0.2500, 0.2500, 0.7500).

The value obtained for the energy relative to the elements, uncorrected is 402 meV/atom. The value obtained for the distance to the lowest polymorph of the same formula is 389 meV per atom. Its total moment is 0.00 μB per formula unit.

***

Here is a relaxed structure of ScNbAs2Pb from Alexandria. Energies are from PBE.

It has space group P4/mmm (No. 123), with a = 4.9217 Å, b = 4.9217 Å, c = 5.4887 Å, α = 90.00°, β = 90.00° and γ = 90.00°. Symmetry generates all atoms from Sc at (0.0000, 0.0000, 0.0000), Nb at (0.5000, 0.5000, 0.5000), As at (0.0000, 0.5000, 0.0000) and Pb at (0.0000, 0.0000, 0.5000).

The formation energy is 0.87 eV/atom. Its total moment is 0.00 μB per formula unit.

***

Here is a relaxed structure of Pr4Er3TmTe8 from Alexandria. Energies are from PBE.

It has space group R-3m (No. 166, hexagonal axes), with a = 8.6819 Å, b = 8.6819 Å, c = 22.5109 Å, α = 90.00°, β = 90.00° and γ = 120.00°. Symmetry generates all atoms from Pr at (0.0000, 0.0000, 0.0000), Pr at (0.0000, 0.5000, 0.0000), Er at (0.0000, 0.5000, 0.5000), Tm at (0.0000, 0.0000, 0.5000), Te at (0.0000, 0.0000, 0.2438) and Te at (0.0008, 0.5004, 0.2437).

The value obtained for the energy relative to the elements, uncorrected is -1329 meV/atom. Its total moment is 0.00 μB per formula unit.

***

Here is a relaxed structure of Al2PtCl from Alexandria. Energies are from PBE.

It has space group I-42d (No. 122), with a = 6.0594 Å, b = 6.0594 Å, c = 10.7638 Å, α = 90.00°, β = 90.00° and γ = 90.00°. Symmetry generates all atoms from Al at (0.2035, 0.2500, 0.1250), Pt at (0.0000, 0.0000, 0.0000) and Cl at (0.0000, 0.0000, 0.5000).

The value obtained for the energy relative to the elements, uncorrected is -409 meV/atom. The value obtained for the distance to the lowest polymorph of the same formula is 379 meV per atom. Its total moment is 0.00 μB per formula unit.

***

Here is a relaxed structure of ZrSc2Cd from Alexandria. Energies are from PBE.

It has space group P4/mmm (No. 123), with a = 4.5175 Å, b = 4.5175 Å, c = 4.4173 Å, α = 90.00°, β = 90.00° and γ = 90.00°. Symmetry generates all atoms from Zr at (0.0000, 0.0000, 0.0000), Sc at (0.0000, 0.5000, 0.5000) and Cd at (0.5000, 0.5000, 0.0000).

The formation energy is -0.08 eV/atom. The value obtained for the distance to the lowest polymorph of the same formula is 89 meV per atom. Its total moment is 0.00 μB per formula unit.